# CsBeAsF2 | the Alexandria database | PBE | optimized geometry
# Formation energy without anion corrections = -1.124 eV/atom
# Total magnetization = 0.0 μB/cell
data_CsBeAsF2
_chemical_formula_sum 'Cs1 Be1 As1 F2'
_cell_length_a 4.323
_cell_length_b 4.323
_cell_length_c 4.599
_cell_angle_alpha 90.00
_cell_angle_beta 90.00
_cell_angle_gamma 90.00
_symmetry_space_group_name_H-M 'P 4/m m m'
_symmetry_Int_Tables_number 123
_symmetry_space_group_name_Hall '-P 4 2'
loop_
_atom_site_label
_atom_site_type_symbol
_atom_site_fract_x
_atom_site_fract_y
_atom_site_fract_z
_atom_site_occupancy
Cs1 Cs 0.000 0.000 0.000 1
Be1 Be 0.500 0.500 0.500 1
As1 As 0.500 0.500 0.000 1
F1 F 0.000 0.500 0.500 1


# Cs2Be2As2H | the Alexandria database | PBE | optimized geometry
# Energy = -46.6 eV/cell
# Total magnetization = 0.0 μB/cell
data_Cs2Be2As2H
_chemical_formula_sum 'Cs4 Be4 As4 H2'
_cell_length_a 11.465
_cell_length_b 4.026
_cell_length_c 8.580
_cell_angle_alpha 90.00
_cell_angle_beta 122.16
_cell_angle_gamma 90.00
_symmetry_space_group_name_H-M 'C 1 2/m 1'
_symmetry_Int_Tables_number 12
_symmetry_space_group_name_Hall '-C 2y'
loop_
_atom_site_label
_atom_site_type_symbol
_atom_site_fract_x
_atom_site_fract_y
_atom_site_fract_z
_atom_site_occupancy
Cs1 Cs 0.062 0.000 0.335 1
Be1 Be 0.159 0.500 0.054 1
As1 As 0.230 0.500 0.837 1
H1 H 0.000 0.500 0.000 1


# Cs2BeAsH | the Alexandria database | PBE | optimized geometry
# Energy = -29.9 eV/cell
# Total magnetization = 0.0 μB/cell
data_Cs2BeAsH
_chemical_formula_sum 'Cs4 Be2 As2 H2'
_cell_length_a 7.503
_cell_length_b 3.989
_cell_length_c 10.589
_cell_angle_alpha 90.00
_cell_angle_beta 110.47
_cell_angle_gamma 90.00
_symmetry_space_group_name_H-M 'P 1 21/m 1'
_symmetry_Int_Tables_number 11
_symmetry_space_group_name_Hall '-P 2yb'
loop_
_atom_site_label
_atom_site_type_symbol
_atom_site_fract_x
_atom_site_fract_y
_atom_site_fract_z
_atom_site_occupancy
Cs1 Cs 0.199 0.250 0.412 1
Cs2 Cs 0.214 0.250 0.943 1
Be1 Be 0.458 0.750 0.240 1
As1 As 0.392 0.750 0.724 1
H1 H 0.247 0.750 0.186 1


# Cs2BeHgAs | the Alexandria database | PBE | optimized geometry
# Relative energy among the computed polymorphs = 0.0 meV per atom
# Formation energy = -0.11 eV/atom
# Total magnetization = 0.0 μB/cell
data_Cs2BeHgAs
_chemical_formula_sum 'Cs2 Be1 Hg1 As1'
_cell_length_a 7.099
_cell_length_b 7.099
_cell_length_c 4.058
_cell_angle_alpha 90.00
_cell_angle_beta 90.00
_cell_angle_gamma 90.00
_symmetry_space_group_name_H-M 'P 4/m m m'
_symmetry_Int_Tables_number 123
_symmetry_space_group_name_Hall '-P 4 2'
loop_
_atom_site_label
_atom_site_type_symbol
_atom_site_fract_x
_atom_site_fract_y
_atom_site_fract_z
_atom_site_occupancy
Cs1 Cs 0.000 0.500 0.000 1
Be1 Be 0.000 0.000 0.000 1
Hg1 Hg 0.500 0.500 0.500 1
As1 As 0.000 0.000 0.500 1


# Cs2BeHgAs2 | the Alexandria database | PBE | optimized geometry
# Formation energy = -0.23 eV/atom
# Total magnetization = 0.0 μB/cell
data_Cs2BeHgAs2
_chemical_formula_sum 'Cs8 Be4 Hg4 As8'
_cell_length_a 6.402
_cell_length_b 18.449
_cell_length_c 6.236
_cell_angle_alpha 90.00
_cell_angle_beta 90.00
_cell_angle_gamma 90.00
_symmetry_space_group_name_H-M 'I b a m'
_symmetry_Int_Tables_number 72
_symmetry_space_group_name_Hall '-I 2 2c'
loop_
_atom_site_label
_atom_site_type_symbol
_atom_site_fract_x
_atom_site_fract_y
_atom_site_fract_z
_atom_site_occupancy
Cs1 Cs 0.226 0.165 0.000 1
Be1 Be 0.000 0.500 0.250 1
Hg1 Hg 0.000 0.000 0.250 1
As1 As 0.197 0.424 0.000 1


# Cs2BeHgAs | the Alexandria database | PBE | optimized geometry
# Relative energy among the computed polymorphs = 12.9 meV per atom
# Formation energy = -0.09 eV/atom
# Total magnetization = 0.0 μB/cell
data_Cs2BeHgAs
_chemical_formula_sum 'Cs2 Be1 Hg1 As1'
_cell_length_a 7.314
_cell_length_b 7.314
_cell_length_c 4.094
_cell_angle_alpha 90.00
_cell_angle_beta 90.00
_cell_angle_gamma 90.00
_symmetry_space_group_name_H-M 'P 4/m m m'
_symmetry_Int_Tables_number 123
_symmetry_space_group_name_Hall '-P 4 2'
loop_
_atom_site_label
_atom_site_type_symbol
_atom_site_fract_x
_atom_site_fract_y
_atom_site_fract_z
_atom_site_occupancy
Cs1 Cs 0.000 0.500 0.000 1
Be1 Be 0.000 0.000 0.500 1
Hg1 Hg 0.500 0.500 0.500 1
As1 As 0.000 0.000 0.000 1


# Cs2BeInAs2 | the Alexandria database | PBE | optimized geometry
# Formation energy = -0.25 eV/atom
# Total magnetization = 0.0 μB/cell
data_Cs2BeInAs2
_chemical_formula_sum 'Cs8 Be4 In4 As8'
_cell_length_a 6.785
_cell_length_b 17.081
_cell_length_c 6.558
_cell_angle_alpha 90.00
_cell_angle_beta 90.00
_cell_angle_gamma 90.00
_symmetry_space_group_name_H-M 'I b a m'
_symmetry_Int_Tables_number 72
_symmetry_space_group_name_Hall '-I 2 2c'
loop_
_atom_site_label
_atom_site_type_symbol
_atom_site_fract_x
_atom_site_fract_y
_atom_site_fract_z
_atom_site_occupancy
Cs1 Cs 0.246 0.167 0.000 1
Be1 Be 0.000 0.500 0.250 1
In1 In 0.000 0.000 0.250 1
As1 As 0.196 0.427 0.000 1


# Cs2KBeAs2 | the Alexandria database | PBE | optimized geometry
# Formation energy = -0.26 eV/atom
# Total magnetization = 0.0 μB/cell
data_Cs2KBeAs2
_chemical_formula_sum 'Cs8 K4 Be4 As8'
_cell_length_a 7.749
_cell_length_b 15.503
_cell_length_c 7.234
_cell_angle_alpha 90.00
_cell_angle_beta 90.00
_cell_angle_gamma 90.00
_symmetry_space_group_name_H-M 'I b a m'
_symmetry_Int_Tables_number 72
_symmetry_space_group_name_Hall '-I 2 2c'
loop_
_atom_site_label
_atom_site_type_symbol
_atom_site_fract_x
_atom_site_fract_y
_atom_site_fract_z
_atom_site_occupancy
Cs1 Cs 0.220 0.176 0.000 1
K1 K 0.000 0.500 0.250 1
Be1 Be 0.000 0.000 0.250 1
As1 As 0.152 0.059 0.500 1